This record from Alexandria via LeMat-Bulk describes a relaxed structure of SrTeCl2. The functional is PBE.

Energy relative to the elements, uncorrected in eV per atom: -1.4442
N(E_F) in states/eV per atom: 0.04
Space-group type: Pm (6)

Cell and atoms, written as extended XYZ:
```
4
Lattice="4.6395 0.0000 0.0000 0.0000 5.3980 0.0000 -2.0998 0.0000 4.8796" Properties=species:S:1:pos:R:3 pbc="T T T"
Sr 0.0000 0.0000 0.0000
Te 0.0815 2.6990 4.0303
Cl 0.2614 2.6990 1.5664
Cl 2.4212 0.0000 1.9211
```